Record 1
A relaxed structure of Zr7InRh2, computed with PBE.

a b c (Å): 8.0326 13.0634 4.9257
angles (deg): 90.00 90.00 90.00
With the nearest neighbours (Å) after each atom.
Space group Cmmm (No. 65)
Inequivalent atoms, fractional coordinates:
Zr 0.0000 0.0000 0.0000 x2  2 Rh 2.63
Zr 0.0000 0.2297 0.5000 x4  2 Rh 2.49
Zr 0.1835 0.3781 0.0000 x8  2 Rh 2.74-2.75, 2 Zr 2.95-3.00
In 0.0000 0.5000 0.5000 x2  10 Zr 3.28-3.53
Rh 0.0000 0.2017 0.0000 x4  7 Zr 2.49-2.75

Output
Formation energy in eV per atom: 0.1733

=====

Record 2
A relaxed structure of AlP2, computed with PBE.

a b c (Å): 3.4739 3.4739 4.6294
angles (deg): 90.00 90.00 120.00
With the nearest neighbours (Å) after each atom.
Space group P-3m1 (No. 164)
Inequivalent atoms, fractional coordinates:
Al 0.0000 0.0000 0.0000 x1  6 P 2.55
P 0.3333 0.6667 0.3395 x2  3 P 2.50, 3 Al 2.55

Output
Formation energy in eV per atom: 0.0584

=====

Record 3
A relaxed structure of Hf2ZrCd, computed with PBE.

a b c (Å): 3.2037 3.2037 30.4920
angles (deg): 90.00 90.00 120.00
With the nearest neighbours (Å) after each atom.
Space group R3m (No. 160, hexagonal axes)
Inequivalent atoms, fractional coordinates:
Hf 0.0000 0.0000 0.0000 x3  9 Hf 3.07-3.20, 3 Cd 3.17
Hf 0.0000 0.0000 0.4135 x3  9 Hf 3.07-3.20, 3 Zr 3.14
Zr 0.0000 0.0000 0.1635 x3  3 Hf 3.14, 3 Cd 3.19, 6 Zr 3.20
Cd 0.0000 0.0000 0.5821 x3  3 Hf 3.17, 3 Zr 3.19, 6 Cd 3.20

Output
Formation energy in eV per atom: -0.0235

=====

Record 4
A relaxed structure of KCu2Os, computed with PBE.

a b c (Å): 7.0791 7.0896 2.5760
angles (deg): 90.00 90.00 90.00
With the nearest neighbours (Å) after each atom.
Space group Cmmm (No. 65)
Inequivalent atoms, fractional coordinates:
K 0.0000 0.0000 0.0000 x2  2 K 2.58, 8 Cu 2.82
Cu 0.2500 0.2500 0.5000 x4  2 Cu 2.58, 4 K 2.82, 4 Os 2.82
Os 0.0000 0.5000 0.0000 x2  2 Os 2.58, 8 Cu 2.82

Output
Distance to the lowest polymorph of the same formula in eV per atom: 0.165
Formation energy in eV per atom: 0.7851

=====

Record 5
A relaxed structure of CrAsS2, computed with PBE.

a b c (Å): 3.3676 3.3676 22.4840
angles (deg): 90.00 90.00 120.00
With the nearest neighbours (Å) after each atom.
Space group R-3m (No. 166, hexagonal axes)
Inequivalent atoms, fractional coordinates:
Cr 0.0000 0.0000 0.0000 x3  2 S 2.14
As 0.0000 0.0000 0.5000 x3  6 S 2.52
S 0.0000 0.0000 0.0954 x6  1 Cr 2.14

Output
ΔE_f (raw) in meV per atom: 555.1

=====

Record 6
A relaxed structure of HfZnB2Sb, computed with PBE.

a b c (Å): 4.4739 4.4739 5.1436
angles (deg): 90.00 90.00 90.00
With the nearest neighbours (Å) after each atom.
Space group P4/mmm (No. 123)
Inequivalent atoms, fractional coordinates:
Hf 0.0000 0.0000 0.0000 x1  4 B 2.24
Zn 0.0000 0.0000 0.5000 x1  2 Hf 2.57
B 0.0000 0.5000 0.0000 x2  2 Hf 2.24
Sb 0.5000 0.5000 0.5000 x1  4 Zn 3.16, 8 B 3.41

Output
ΔE_f (raw) in meV per atom: 1371.2

=====

Record 7
A relaxed structure of Tm4GePb2, computed with PBE.

a b c (Å): 6.4840 6.5249 9.7953
angles (deg): 90.00 108.99 90.00
With the nearest neighbours (Å) after each atom.
Space group P2_1/m (No. 11)
Inequivalent atoms, fractional coordinates:
Tm 0.1718 0.2500 0.0665 x2  1 Ge 2.79
Tm 0.2582 0.0018 0.7562 x4  1 Ge 2.77
Tm 0.3015 0.7500 0.3598 x2  1 Ge 2.79
Ge 0.4778 0.2500 0.3431 x2  4 Tm 2.77-2.79, 1 Pb 2.80
Pb 0.1339 0.2500 0.4574 x2  1 Ge 2.80
Pb 0.3387 0.7500 0.0456 x2  8 Tm 3.13-3.46

Output
Distance to the lowest polymorph of the same formula in eV per atom: 0.084
Formation energy in eV per atom: -0.3959

=====

Record 8
A relaxed structure of NaP2HCl, computed with PBE.

a b c (Å): 3.6223 3.6223 7.9284
angles (deg): 90.00 90.00 90.00
With the nearest neighbours (Å) after each atom.
Space group P4/mmm (No. 123)
Inequivalent atoms, fractional coordinates:
Na 0.0000 0.0000 0.0000 x1  4 Cl 2.56
P 0.0000 0.5000 0.5000 x2  2 H 1.81
H 0.5000 0.5000 0.5000 x1  4 P 1.81
Cl 0.5000 0.5000 0.0000 x1  4 Na 2.56

Output
Distance to the lowest polymorph of the same formula in eV per atom: 0.000

=====

Question: Number 6 is which compound?
Answer: HfZnB2Sb